Compound: In2H4Se
Source: Alexandria
Functional: GGA-PBE
Structure: relaxed

a b c (Å): 3.497 3.497 8.940
angles (deg): 78.72 78.72 90.00
Fractional coordinates of all 7 atoms:
H1 0.793 0.793 0.415
H2 0.207 0.207 0.585
In1 0.668 0.668 0.664
Se1 0.000 0.000 0.000
H3 0.500 0.000 0.000
In2 0.332 0.332 0.336
H4 0.000 0.500 0.000

Properties
**VASP energy**: -2.83 eV per atom
**Calculated volume**: 105.1 Å³/cell